{"formula": "YMg", "functional": "PBE-GGA", "state": "optimized geometry", "formation_energy_ev_per_atom": 0.0414, "sg": "No. 187", "dos_at_fermi_per_ev_cell": 8.0, "lattice": [[2.2425, 2.5878, -0.4629], [-3.3564, 0.4828, -0.6644], [-2.3956, 4.8743, 15.6441]], "species": ["Y", "Y", "Y", "Mg", "Mg", "Mg"], "fractional_positions": [[0.0000, 0.0000, 0.8224], [0.0000, 0.0000, 0.1776], [0.6667, 0.3333, 0.0000], [0.6667, 0.3333, 0.6541], [0.6667, 0.3333, 0.3459], [0.0000, 0.0000, 0.5000]]}



{"formula": "YMg", "functional": "PBE-GGA", "state": "optimized geometry", "formation_energy_ev_per_atom": 0.0828, "sg": "No. 227", "dos_at_fermi_per_ev_cell": 3.5, "lattice": [[5.4107, -0.0172, -0.0121], [2.7198, 4.6775, -0.0121], [2.7198, 1.5589, 4.4101]], "species": ["Y", "Mg", "Mg", "Y"], "fractional_positions": [[0.6250, 0.6250, 0.6250], [0.8751, 0.8751, 0.8751], [0.1249, 0.1249, 0.1249], [0.3750, 0.3750, 0.3750]]}



{"formula": "Y3Mg8", "functional": "PBE-GGA", "state": "optimized geometry", "formation_energy_ev_per_atom": -0.0762, "sg": "No. 166", "dos_at_fermi_per_ev_cell": 6.5, "lattice": [[5.0662, 0.0000, 1.1125], [2.4110, 4.4558, 1.1125], [-0.0225, -0.0134, 12.1945]], "species": ["Mg", "Mg", "Mg", "Y", "Mg", "Y", "Mg", "Mg", "Mg", "Mg", "Y"], "fractional_positions": [[0.6374, 0.6374, 0.0877], [0.3626, 0.3626, 0.9123], [0.7274, 0.7274, 0.8177], [0.5484, 0.5484, 0.3549], [0.8243, 0.8243, 0.5271], [0.0000, 0.0000, 0.0000], [0.1757, 0.1757, 0.4729], [0.9118, 0.9118, 0.2646], [0.2726, 0.2726, 0.1823], [0.0882, 0.0882, 0.7354], [0.4516, 0.4516, 0.6451]]}



{"formula": "Y3Mg2", "functional": "PBE-GGA", "state": "optimized geometry", "e_above_lowest_polymorph_ev_per_atom": 0.000, "formation_energy_ev_per_atom": -0.0777, "sg": "No. 123", "dos_at_fermi_per_ev_cell": 15.0, "lattice": [[3.7508, 0.0000, 0.0000], [0.0000, 3.7508, 0.0000], [0.0000, 0.0000, 20.3123]], "species": ["Y", "Y", "Mg", "Y", "Y", "Mg", "Mg", "Y", "Y", "Mg"], "fractional_positions": [[0.0000, 0.0000, 0.6900], [0.0000, 0.0000, 0.3100], [0.5000, 0.5000, 0.7846], [0.0000, 0.0000, 0.8809], [0.0000, 0.0000, 0.1191], [0.5000, 0.5000, 0.5955], [0.5000, 0.5000, 0.4045], [0.5000, 0.5000, 0.0000], [0.0000, 0.0000, 0.5000], [0.5000, 0.5000, 0.2154]]}



{"formula": "YMg", "functional": "PBE-GGA", "state": "optimized geometry", "formation_energy_ev_per_atom": 1.3364, "sg": "No. 223", "dos_at_fermi_per_ev_cell": 23.5, "lattice": [[-1.8919, 4.9348, 6.9899], [1.6237, -6.8216, 5.2554], [8.4009, 2.4298, 0.5584]], "species": ["Y", "Mg", "Y", "Mg", "Y", "Y", "Y", "Mg", "Y", "Mg", "Mg", "Mg"], "fractional_positions": [[0.2500, 0.5000, 0.0000], [0.0000, 0.5000, 0.2500], [0.7500, 0.5000, 0.0000], [0.0000, 0.5000, 0.7500], [0.5000, 0.0000, 0.7500], [0.0000, 0.2500, 0.5000], [0.0000, 0.7500, 0.5000], [0.5000, 0.2500, 0.0000], [0.5000, 0.0000, 0.2500], [0.5000, 0.7500, 0.0000], [0.2500, 0.0000, 0.5000], [0.7500, 0.0000, 0.5000]]}



{"formula": "Y3Mg5", "functional": "PBE-GGA", "state": "optimized geometry", "e_above_lowest_polymorph_ev_per_atom": 0.000, "formation_energy_ev_per_atom": -0.0868, "sg": "No. 65", "dos_at_fermi_per_ev_cell": 7.2, "lattice": [[6.5316, 0.0085, 0.0000], [-2.0324, 6.2074, 0.0000], [0.0000, 0.0000, 5.2108]], "species": ["Mg", "Mg", "Y", "Y", "Mg", "Y", "Mg", "Mg"], "fractional_positions": [[0.7509, 0.7509, 0.5000], [0.5000, 0.0000, 0.0000], [0.7598, 0.2402, 0.5000], [0.2402, 0.7598, 0.5000], [0.0000, 0.0000, 0.0000], [0.5000, 0.5000, 0.0000], [0.2491, 0.2491, 0.5000], [0.0000, 0.5000, 0.0000]]}



{"formula": "YMg6", "functional": "PBE-GGA", "state": "optimized geometry", "e_above_lowest_polymorph_ev_per_atom": 0.737, "formation_energy_ev_per_atom": 0.7345, "sg": "No. 229", "dos_at_fermi_per_ev_cell": 5.1, "lattice": [[-2.8632, 0.4783, 5.9983], [-4.7185, -0.4411, -4.6848], [3.8435, -5.4401, -0.1993]], "species": ["Mg", "Mg", "Y", "Mg", "Mg", "Mg", "Mg"], "fractional_positions": [[0.5000, 0.2500, 0.7500], [0.7500, 0.2500, 0.5000], [0.0000, 0.0000, 0.0000], [0.2500, 0.5000, 0.7500], [0.5000, 0.7500, 0.2500], [0.2500, 0.7500, 0.5000], [0.7500, 0.5000, 0.2500]]}



{"formula": "Y2Mg7", "functional": "PBE-GGA", "state": "optimized geometry", "formation_energy_ev_per_atom": -0.0272, "sg": "No. 166", "dos_at_fermi_per_ev_cell": 16.8, "lattice": [[5.8939, 0.0000, 1.2066], [2.8234, 5.1736, 1.2066], [-0.0046, -0.0027, 15.0200]], "species": ["Mg", "Mg", "Y", "Mg", "Mg", "Mg", "Mg", "Mg", "Mg", "Mg", "Mg", "Y", "Y", "Mg", "Mg", "Mg", "Y", "Mg"], "fractional_positions": [[0.2778, 0.2778, 0.1665], [0.0000, 0.5000, 0.0000], [0.9434, 0.9434, 0.1698], [0.5000, 0.5000, 0.0000], [0.7222, 0.7222, 0.8335], [0.6106, 0.6106, 0.1681], [0.3858, 0.8931, 0.3352], [0.6142, 0.1069, 0.6648], [0.8931, 0.3858, 0.3352], [0.1069, 0.6142, 0.6648], [0.3894, 0.3894, 0.8319], [0.0566, 0.0566, 0.8302], [0.1512, 0.1512, 0.5463], [0.6142, 0.6142, 0.6648], [0.5000, 0.5000, 0.5000], [0.3858, 0.3858, 0.3352], [0.8488, 0.8488, 0.4537], [0.5000, 0.0000, 0.0000]]}



{"formula": "YMg", "functional": "PBE-GGA", "state": "optimized geometry", "formation_energy_ev_per_atom": -0.0095, "sg": "No. 19", "dos_at_fermi_per_ev_cell": 18.0, "lattice": [[6.0005, 0.0000, 0.0000], [0.0000, 6.6876, 0.0000], [0.0000, 0.0000, 11.1139]], "species": ["Mg", "Mg", "Mg", "Mg", "Y", "Y", "Y", "Y", "Mg", "Y", "Y", "Mg", "Mg", "Y", "Mg", "Y"], "fractional_positions": [[0.5046, 0.1786, 0.7364], [0.9954, 0.8214, 0.2364], [0.2076, 0.1359, 0.5014], [0.7924, 0.6359, 0.9986], [0.7152, 0.8668, 0.5010], [0.9725, 0.4418, 0.7518], [0.5275, 0.5582, 0.2518], [0.7848, 0.1332, 0.0010], [0.0046, 0.3214, 0.2636], [0.2848, 0.3668, 0.9990], [0.2152, 0.6332, 0.4990], [0.4954, 0.6786, 0.7636], [0.2924, 0.8641, 0.0014], [0.0275, 0.9418, 0.7482], [0.7076, 0.3641, 0.4986], [0.4725, 0.0582, 0.2482]]}



{"formula": "YMg", "functional": "PBE-GGA", "state": "optimized geometry", "formation_energy_ev_per_atom": 0.0179, "sg": "No. 194", "dos_at_fermi_per_ev_cell": 5.4, "lattice": [[-2.4559, 0.8123, -2.4036], [-0.9677, -1.1967, 3.1781], [-0.2922, 10.0407, 3.6918]], "species": ["Y", "Mg", "Mg", "Y"], "fractional_positions": [[0.3333, 0.6667, 0.2500], [0.0000, 0.0000, 0.0000], [0.0000, 0.0000, 0.5000], [0.6667, 0.3333, 0.7500]]}



{"formula": "Y3Mg", "functional": "PBE-GGA", "state": "optimized geometry", "formation_energy_ev_per_atom": 0.0713, "sg": "No. 223", "dos_at_fermi_per_ev_cell": 13.5, "lattice": [[6.2570, 0.0000, 0.0000], [0.0000, 6.2570, 0.0000], [0.0000, 0.0000, 6.2570]], "species": ["Y", "Y", "Mg", "Y", "Y", "Mg", "Y", "Y"], "fractional_positions": [[0.7500, 0.5000, 0.0000], [0.5000, 0.0000, 0.2500], [0.5000, 0.5000, 0.5000], [0.2500, 0.5000, 0.0000], [0.0000, 0.7500, 0.5000], [0.0000, 0.0000, 0.0000], [0.0000, 0.2500, 0.5000], [0.5000, 0.0000, 0.7500]]}



{"formula": "Y3Mg", "functional": "PBE-GGA", "state": "optimized geometry", "formation_energy_ev_per_atom": 0.1513, "sg": "No. 194", "dos_at_fermi_per_ev_cell": 12.9, "lattice": [[-2.3729, 4.4710, -1.8871], [-2.5372, -4.7564, -0.3469], [-4.1591, 1.5664, 8.9411]], "species": ["Y", "Y", "Mg", "Y", "Y", "Y", "Y", "Mg"], "fractional_positions": [[0.3333, 0.6667, 0.4228], [0.6667, 0.3333, 0.5772], [0.3333, 0.6667, 0.7500], [0.6667, 0.3333, 0.9228], [0.3333, 0.6667, 0.0772], [0.0000, 0.0000, 0.2500], [0.0000, 0.0000, 0.7500], [0.6667, 0.3333, 0.2500]]}